No. 1
A relaxed structure of LaSc2Pd2, computed with PBE.

Computed properties:
V	22.1	Å³/atom
SG	P4/mbm
density	6.64	g cm⁻³
total magnetization	0.000	μB/f.u.
energy	-6.200	eV/atom
relative energy among the computed polymorphs	1.157	kcal/mol of atoms

Lattice parameters (Å, degrees): 7.882 7.882 3.555 90.00 90.00 90.00
Fractional positions:
Sc 0.151 0.651 0.500
Sc 0.651 0.849 0.500
Sc 0.849 0.349 0.500
Sc 0.349 0.151 0.500
Pd 0.368 0.868 0.000
Pd 0.868 0.632 0.000
Pd 0.632 0.132 0.000
Pd 0.132 0.368 0.000
La 0.000 0.000 0.000
La 0.500 0.500 0.000

---

No. 2
A relaxed structure of LaSc2Pd, computed with PBE.

Computed properties:
V	26.6	Å³/atom
SG	R3m
density	5.24	g cm⁻³
total magnetization	0.000	μB/f.u.
energy	-5.937	eV/atom

Lattice parameters (Å, degrees): 3.738 3.738 9.049 78.08 78.08 60.00
Fractional positions:
La 0.502 0.502 0.493
Sc 0.059 0.059 0.824
Sc 0.273 0.273 0.180
Pd 0.666 0.666 0.003

---

No. 3
A relaxed structure of La2ScPd9, computed with PBE.

Computed properties:
V	18.0	Å³/atom
SG	P4/mmm
density	9.85	g cm⁻³
total magnetization	0.000	μB/f.u.
energy	-6.045	eV/atom

Lattice parameters (Å, degrees): 4.188 4.188 12.315 90.00 90.00 90.00
Fractional positions:
La 0.000 0.000 0.325
La 0.000 0.000 0.675
Sc 0.000 0.000 0.000
Pd 0.500 0.500 0.000
Pd 0.500 0.500 0.327
Pd 0.500 0.500 0.673
Pd 0.500 0.000 0.153
Pd 0.500 0.000 0.500
Pd 0.500 0.000 0.847
Pd 0.000 0.500 0.153
Pd 0.000 0.500 0.500
Pd 0.000 0.500 0.847

---

No. 4
A relaxed structure of La2ScPd, computed with PBE.

Computed properties:
V	29.6	Å³/atom
SG	R3m
density	6.03	g cm⁻³
total magnetization	0.000	μB/f.u.
energy	-5.533	eV/atom
relative energy among the computed polymorphs	2.952	kcal/mol of atoms

Lattice parameters (Å, degrees): 3.775 3.775 9.822 78.92 78.92 60.00
Fractional positions:
La 0.071 0.071 0.787
La 0.262 0.262 0.213
Sc 0.499 0.499 0.503
Pd 0.668 0.668 0.997

---

No. 5
A relaxed structure of La2ScPd2, computed with PBE.

Computed properties:
V	24.7	Å³/atom
SG	P4/mbm
density	7.20	g cm⁻³
total magnetization	0.000	μB/f.u.
energy	-5.693	eV/atom
relative energy among the computed polymorphs	6.440	kcal/mol of atoms

Lattice parameters (Å, degrees): 8.482 8.482 3.433 90.00 90.00 90.00
Fractional positions:
Sc 0.000 0.000 0.000
Sc 0.500 0.500 0.000
Pd 0.169 0.669 0.500
Pd 0.669 0.831 0.500
Pd 0.831 0.331 0.500
Pd 0.331 0.169 0.500
La 0.360 0.860 0.000
La 0.860 0.640 0.000
La 0.640 0.140 0.000
La 0.140 0.360 0.000

---

No. 6
A relaxed structure of LaScPd3, computed with PBE.

Computed properties:
V	20.3	Å³/atom
SG	P2_1/c
density	8.22	g cm⁻³
total magnetization	0.000	μB/f.u.
energy	-6.190	eV/atom
relative energy among the computed polymorphs	0.000	kcal/mol of atoms

Lattice parameters (Å, degrees): 5.642 9.902 7.302 94.56 90.00 90.00
Fractional positions:
La 0.870 0.631 0.198
La 0.130 0.369 0.802
La 0.370 0.369 0.302
La 0.630 0.631 0.698
Sc 0.352 0.945 0.674
Sc 0.648 0.055 0.326
Sc 0.852 0.055 0.826
Sc 0.148 0.945 0.174
Pd 0.100 0.130 0.490
Pd 0.900 0.870 0.510
Pd 0.600 0.870 0.010
Pd 0.400 0.130 0.990
Pd 0.435 0.787 0.365
Pd 0.565 0.213 0.635
Pd 0.935 0.213 0.135
Pd 0.065 0.787 0.865
Pd 0.148 0.612 0.547
Pd 0.852 0.388 0.453
Pd 0.648 0.388 0.953
Pd 0.352 0.612 0.047

---

No. 7
A relaxed structure of LaScPd, computed with PBE.

Computed properties:
V	25.3	Å³/atom
SG	P4/nmm
density	6.34	g cm⁻³
total magnetization	0.000	μB/f.u.
energy	-6.087	eV/atom
relative energy among the computed polymorphs	0.000	kcal/mol of atoms

Lattice parameters (Å, degrees): 4.692 4.692 6.907 90.00 90.00 90.00
Fractional positions:
La 0.000 0.500 0.880
La 0.500 0.000 0.120
Pd 0.000 0.500 0.293
Pd 0.500 0.000 0.707
Sc 0.500 0.500 0.500
Sc 0.000 0.000 0.500

---

No. 8
A relaxed structure of LaScPd3, computed with PBE.

Computed properties:
V	27.1	Å³/atom
SG	Pm-3m
density	6.16	g cm⁻³
total magnetization	0.000	μB/f.u.
energy	-5.021	eV/atom
relative energy among the computed polymorphs	26.953	kcal/mol of atoms

Lattice parameters (Å, degrees): 5.137 5.137 5.137 90.00 90.00 90.00
Fractional positions:
Sc 0.500 0.500 0.500
Pd 0.000 0.500 0.000
Pd 0.000 0.000 0.500
Pd 0.500 0.000 0.000
La 0.000 0.000 0.000

---

No. 9
A relaxed structure of LaSc2Pd, computed with PBE.

Computed properties:
V	26.2	Å³/atom
SG	I-42d
density	5.32	g cm⁻³
total magnetization	0.000	μB/f.u.
energy	-5.923	eV/atom

Lattice parameters (Å, degrees): 8.238 8.238 6.592 51.33 51.33 90.00
Fractional positions:
Sc 0.555 0.125 0.250
Sc 0.195 0.625 0.250
Sc 0.375 0.445 0.750
Sc 0.875 0.805 0.750
Pd 0.500 0.500 0.000
Pd 0.250 0.750 0.500
La 0.000 0.000 0.000
La 0.750 0.250 0.500

---

No. 10
A relaxed structure of LaSc2Pd2, computed with PBE.

Computed properties:
V	24.4	Å³/atom
SG	C2/c
density	6.02	g cm⁻³
total magnetization	0.000	μB/f.u.
energy	-6.200	eV/atom
relative energy among the computed polymorphs	1.157	kcal/mol of atoms

Lattice parameters (Å, degrees): 5.960 6.903 7.505 65.21 66.56 64.40
Fractional positions:
La 0.863 0.750 0.250
La 0.137 0.250 0.750
Sc 0.601 0.381 0.209
Sc 0.809 0.881 0.709
Sc 0.191 0.119 0.291
Sc 0.399 0.619 0.791
Pd 0.399 0.825 0.036
Pd 0.740 0.324 0.536
Pd 0.601 0.175 0.964
Pd 0.260 0.676 0.464

---

No. 11
A relaxed structure of LaScPd3, computed with PBE.

Computed properties:
V	23.5	Å³/atom
SG	Pm-3m
density	7.11	g cm⁻³
total magnetization	0.000	μB/f.u.
energy	-5.727	eV/atom
relative energy among the computed polymorphs	10.670	kcal/mol of atoms

Lattice parameters (Å, degrees): 4.898 4.898 4.898 90.00 90.00 90.00
Fractional positions:
Sc 0.000 0.000 0.000
Pd 0.000 0.500 0.000
Pd 0.000 0.000 0.500
Pd 0.500 0.000 0.000
La 0.500 0.500 0.500

---

No. 12
A relaxed structure of LaSc2Pd, computed with PBE.

Computed properties:
V	24.6	Å³/atom
SG	R-3m
density	5.67	g cm⁻³
total magnetization	0.000	μB/f.u.
energy	-5.617	eV/atom

Lattice parameters (Å, degrees): 10.769 10.769 10.769 17.47 17.47 17.47
Fractional positions:
Sc 0.922 0.922 0.922
Sc 0.078 0.078 0.078
Pd 0.000 0.000 0.000
La 0.500 0.500 0.500

---

No. 13
A relaxed structure of La2ScPd, computed with PBE.

Computed properties:
V	29.5	Å³/atom
SG	I-42d
density	6.04	g cm⁻³
total magnetization	0.000	μB/f.u.
energy	-5.488	eV/atom
relative energy among the computed polymorphs	3.995	kcal/mol of atoms

Lattice parameters (Å, degrees): 8.597 8.597 6.866 51.24 51.24 90.00
Fractional positions:
Sc 0.500 0.500 0.000
Sc 0.250 0.750 0.500
Pd 0.000 0.000 0.000
Pd 0.750 0.250 0.500
La 0.679 0.125 0.250
La 0.071 0.625 0.250
La 0.375 0.321 0.750
La 0.875 0.929 0.750